DFT (GGA-PBE) results for crystalline CrFe2Ru at its relaxed geometry.

Cell lengths 4.443, 4.443, 2.580 Å; angles 90.00, 90.00, 110.09 degrees
Atoms (fractional coordinates):
Cr1 0.000 0.000 0.000
Fe1 0.000 0.500 0.500
Fe2 0.500 0.000 0.500
Ru1 0.500 0.500 0.000

Summary:
The calculation puts the final energy at -35.35 eV for the cell shown.